Here is crystalline YMnPO2 at its relaxed geometry from the Alexandria database. Energies are from GGA+U.

a = 4.223 Å, b = 4.223 Å, c = 5.853 Å
α = 90.00°, β = 90.00°, γ = 90.00°
Space group P4/mmm (No. 123)
One atom of each set of equivalent atoms:
Y  0.000  0.000  0.000 (multiplicity 1)
Mn  0.500  0.500  0.500 (multiplicity 1)
P  0.000  0.000  0.500 (multiplicity 1)
O  0.000  0.500  0.000 (multiplicity 2)

Summary:
Energy above the most stable polymorph in this dataset ... 428 meV/atom
Energy ... -6.69 eV per atom
Total moment ... 5.15 μB per cell